A plane-wave DFT calculation with PBE-GGA was carried out for a relaxed Ce4Pm3Pt4 crystal.

space group = No. 71
E_form = -0.764 eV/atom
mass density = 10.4 g/cm3
total energy = -6.4138 eV/atom
magnetization = 0.166 μB/atom

Cell: 4.8011 7.5562 9.0373 Å, 114.71 105.40 90.00°
Closest atoms and distances in Å follow each position.
Sites, in units of the cell vectors:
Ce1 0.3324 0.1202 0.6647  4 Pt 2.73-2.97
Ce2 0.6676 0.4555 0.3353  4 Pt 2.73-2.97
Ce3 0.6676 0.8798 0.3353  4 Pt 2.73-2.97
Ce4 0.3324 0.5445 0.6647  4 Pt 2.73-2.97
Pm1 0.1005 0.1005 0.2011  1 Pm 3.16, 4 Pt 3.22, 4 Ce 3.41
Pm2 0.8995 0.8995 0.7989  1 Pm 3.16, 4 Pt 3.22, 4 Ce 3.41
Pm3 0.0000 0.5000 0.0000  6 Pt 3.19-3.35
Pt1 0.2034 0.7034 0.4069  6 Ce 2.94-2.97, 1 Pm 3.19
Pt2 0.7966 0.2966 0.5931  6 Ce 2.94-2.97, 1 Pm 3.19
Pt3 0.5000 0.8085 0.0000  2 Ce 2.73, 1 Pt 2.89
Pt4 0.5000 0.1915 0.0000  2 Ce 2.73, 1 Pt 2.89